*P*
Density functional theory data (PBEsol) for KLiSb after structural relaxation.

Summary:
- volume (A^3/atom) = 29.862
- magnetization (μB per formula unit) = 0.33

Unit cell a=7.1028 b=7.1028 c=7.1028 alpha=90.00 beta=90.00 gamma=90.00
Sites, in units of the cell vectors:
K (0.0000, 0.0000, 0.0000)
K (0.0000, 0.5000, 0.5000)
K (0.5000, 0.0000, 0.5000)
K (0.5000, 0.5000, 0.0000)
Li (0.2500, 0.2500, 0.2500)
Li (0.2500, 0.7500, 0.7500)
Li (0.7500, 0.2500, 0.7500)
Li (0.7500, 0.7500, 0.2500)
Sb (0.0000, 0.0000, 0.5000)
Sb (0.0000, 0.5000, 0.0000)
Sb (0.5000, 0.0000, 0.0000)
Sb (0.5000, 0.5000, 0.5000)

*Q*
Density functional theory data (PBEsol) for KLiSb after structural relaxation.

Summary:
- volume (A^3/atom) = 29.204
- magnetization (μB per formula unit) = 0.00

Unit cell a=3.3844 b=4.4328 c=11.6799 alpha=90.00 beta=90.00 gamma=90.00
Sites, in units of the cell vectors:
K (0.0000, 0.0000, 0.0000)
K (0.5000, 0.5000, 0.5000)
Li (0.0000, 0.0000, 0.7369)
Li (0.5000, 0.5000, 0.2369)
Sb (0.0000, 0.0000, 0.2989)
Sb (0.5000, 0.5000, 0.7989)

Going by the energies, *Q* is most stable and the next is 225 meV per atom up.

*P*
Density functional theory data (PBEsol) for KLi2Sc after structural relaxation.

Summary:
- volume (A^3/atom) = 27.888
- magnetization (μB per formula unit) = 0.00

Unit cell a=5.8365 b=5.8365 c=3.2747 alpha=90.00 beta=90.00 gamma=90.00
Sites, in units of the cell vectors:
K (0.0000, 0.0000, 0.0000)
Li (0.0000, 0.5000, 0.5000)
Li (0.5000, 0.0000, 0.5000)
Sc (0.5000, 0.5000, 0.0000)

*Q*
Density functional theory data (PBEsol) for KLi2Sc after structural relaxation.

Summary:
- volume (A^3/atom) = 29.000
- magnetization (μB per formula unit) = 0.24

Unit cell a=3.5816 b=3.5816 c=9.0431 alpha=90.00 beta=90.00 gamma=90.00
Sites, in units of the cell vectors:
K (0.0000, 0.0000, 0.0000)
Li (0.5000, 0.5000, 0.3038)
Li (0.5000, 0.5000, 0.6962)
Sc (0.0000, 0.0000, 0.5000)

Going by the energies, *Q* is most stable and the next is 91 meV per atom up.

*P*
Density functional theory data (PBEsol) for K2SrLi after structural relaxation.

Summary:
- volume (A^3/atom) = 52.006
- magnetization (μB per formula unit) = 0.00

Unit cell a=4.2796 b=4.2775 c=11.3637 alpha=90.00 beta=90.06 gamma=90.00
Sites, in units of the cell vectors:
K (0.0000, 0.0000, 0.0000)
K (0.4992, 0.5000, 0.3203)
Sr (0.9981, 0.0000, 0.6126)
Li (0.4987, 0.5000, 0.7904)

*Q*
Density functional theory data (PBEsol) for K2SrLi after structural relaxation.

Summary:
- volume (A^3/atom) = 51.531
- magnetization (μB per formula unit) = 0.00

Unit cell a=4.7218 b=6.3336 c=6.8923 alpha=90.00 beta=90.00 gamma=90.00
Sites, in units of the cell vectors:
K (0.0000, 0.0000, 0.0000)
K (0.5000, 0.5000, 0.0000)
Sr (0.0000, 0.5000, 0.5000)
Li (0.5000, 0.0000, 0.5000)

Going by the energies, *P* is most stable and the next is 77 meV per atom up.

*P*
Density functional theory data (PBEsol) for KLiTc2 after structural relaxation.

Summary:
- volume (A^3/atom) = 16.749
- magnetization (μB per formula unit) = 0.00

Unit cell a=2.6732 b=4.4869 c=11.1709 alpha=90.00 beta=90.00 gamma=90.00
Sites, in units of the cell vectors:
K (0.0000, 0.0000, 0.0000)
K (0.5000, 0.5000, 0.5000)
Li (0.0000, 0.0000, 0.5000)
Li (0.5000, 0.5000, 0.0000)
Tc (0.0000, 0.5000, 0.2266)
Tc (0.0000, 0.5000, 0.7734)
Tc (0.5000, 0.0000, 0.2734)
Tc (0.5000, 0.0000, 0.7266)

*Q*
Density functional theory data (PBEsol) for KLiTc2 after structural relaxation.

Summary:
- volume (A^3/atom) = 16.499
- magnetization (μB per formula unit) = 0.00

Unit cell a=2.6744 b=2.6744 c=31.9633 alpha=90.00 beta=90.00 gamma=120.00
Sites, in units of the cell vectors:
K (0.0000, 0.0000, 0.0000)
K (0.3333, 0.6667, 0.6667)
K (0.6667, 0.3333, 0.3333)
Li (0.0000, 0.0000, 0.5000)
Li (0.3333, 0.6667, 0.1667)
Li (0.6667, 0.3333, 0.8333)
Tc (0.0000, 0.0000, 0.2405)
Tc (0.0000, 0.0000, 0.7595)
Tc (0.3333, 0.6667, 0.4262)
Tc (0.3333, 0.6667, 0.9072)
Tc (0.6667, 0.3333, 0.0928)
Tc (0.6667, 0.3333, 0.5738)

Going by the energies, *P* is most stable and the next is 42 meV per atom up.

*P*
Density functional theory data (PBEsol) for KLiTe2 after structural relaxation.

Summary:
- volume (A^3/atom) = 27.932
- magnetization (μB per formula unit) = 0.00

Unit cell a=4.9380 b=4.9495 c=9.1430 alpha=90.00 beta=90.00 gamma=90.00
Sites, in units of the cell vectors:
K (0.0000, 0.0000, 0.0000)
K (0.5000, 0.5000, 0.5000)
Li (0.0000, 0.0000, 0.5000)
Li (0.5000, 0.5000, 0.0000)
Te (0.0000, 0.5000, 0.2499)
Te (0.0000, 0.5000, 0.7501)
Te (0.5000, 0.0000, 0.2501)
Te (0.5000, 0.0000, 0.7499)

*Q*
Density functional theory data (PBEsol) for KLiTe2 after structural relaxation.

Summary:
- volume (A^3/atom) = 37.261
- magnetization (μB per formula unit) = 0.00

Unit cell a=5.8003 b=5.8003 c=17.7203 alpha=90.00 beta=90.00 gamma=90.00
Sites, in units of the cell vectors:
K (0.0000, 0.0000, 0.0000)
K (0.0000, 0.5000, 0.2500)
K (0.5000, 0.0000, 0.7500)
K (0.5000, 0.5000, 0.5000)
Li (0.0000, 0.0000, 0.5000)
Li (0.0000, 0.5000, 0.7500)
Li (0.5000, 0.0000, 0.2500)
Li (0.5000, 0.5000, 0.0000)
Te (0.0685, 0.2500, 0.6250)
Te (0.2500, 0.5685, 0.8750)
Te (0.2500, 0.9315, 0.3750)
Te (0.4315, 0.2500, 0.1250)
Te (0.5685, 0.7500, 0.1250)
Te (0.7500, 0.0685, 0.3750)
Te (0.7500, 0.4315, 0.8750)
Te (0.9315, 0.7500, 0.6250)

Going by the energies, *Q* is most stable and the next is 131 meV per atom up.

*P*
Density functional theory data (PBEsol) for KLiTe2 after structural relaxation.

Summary:
- volume (A^3/atom) = 27.981
- magnetization (μB per formula unit) = 0.00

Unit cell a=4.9347 b=4.9347 c=4.5962 alpha=90.00 beta=90.00 gamma=90.00
Sites, in units of the cell vectors:
K (0.0000, 0.0000, 0.0000)
Li (0.5000, 0.5000, 0.0000)
Te (0.0000, 0.5000, 0.5000)
Te (0.5000, 0.0000, 0.5000)

*Q*
Density functional theory data (PBEsol) for KLiTe2 after structural relaxation.

Summary:
- volume (A^3/atom) = 30.391
- magnetization (μB per formula unit) = 0.00

Unit cell a=3.5222 b=3.5222 c=9.7990 alpha=90.00 beta=90.00 gamma=90.00
Sites, in units of the cell vectors:
K (0.0000, 0.0000, 0.0000)
Li (0.5000, 0.5000, 0.4847)
Te (0.0000, 0.0000, 0.3382)
Te (0.5000, 0.5000, 0.7626)

*R*
Density functional theory data (PBEsol) for KLiTe2 after structural relaxation.

Summary:
- volume (A^3/atom) = 28.242
- magnetization (μB per formula unit) = 0.00

Unit cell a=7.6737 b=7.6737 c=7.6737 alpha=90.00 beta=90.00 gamma=90.00
Sites, in units of the cell vectors:
K (0.0000, 0.0000, 0.0000)
K (0.0000, 0.5000, 0.5000)
K (0.5000, 0.0000, 0.5000)
K (0.5000, 0.5000, 0.0000)
Li (0.0000, 0.0000, 0.5000)
Li (0.0000, 0.5000, 0.0000)
Li (0.5000, 0.0000, 0.0000)
Li (0.5000, 0.5000, 0.5000)
Te (0.2500, 0.2500, 0.2500)
Te (0.2500, 0.2500, 0.7500)
Te (0.2500, 0.7500, 0.2500)
Te (0.2500, 0.7500, 0.7500)
Te (0.7500, 0.2500, 0.2500)
Te (0.7500, 0.2500, 0.7500)
Te (0.7500, 0.7500, 0.2500)
Te (0.7500, 0.7500, 0.7500)

Going by the energies, *P* is most stable and the next is 28 meV per atom up.